CdTcAsO: relaxed, PBE-GGA.

Unit cell a=4.051 b=4.051 c=8.183 alpha=90.00 beta=90.00 gamma=90.00
Space group P4/nmm (No. 129, origin choice 2)
Symmetry-distinct sites (fractional):
Cd 0.250 0.250 0.112
Tc 0.250 0.750 0.500
As 0.250 0.250 0.679
O 0.250 0.750 0.000

Properties
The calculation puts the total DFT energy (no corrections) at -43.34 eV for the cell shown.